First-principles (SCAN) data for a PBEsol-optimized structure of FeSi2HgPd, as listed in Alexandria.

Lattice parameters (Å, degrees): 4.770 4.770 4.798 90.00 90.00 90.00
Fractional positions:
Si 0.000 0.500 0.000
Si 0.500 0.000 0.000
Hg 0.000 0.000 0.000
Pd 0.500 0.500 0.500
Fe 0.000 0.000 0.500

- formation energy without anion corrections (meV/atom) = 1485
- density of states at the Fermi level (states/eV/f.u.) = 3.67
- total magnetic moment (Bohr magnetons per cell) = 3.3
- symmetry = No. 123

=====

First-principles (SCAN) data for a PBEsol-optimized structure of BaMgSeN2, as listed in Alexandria.

Lattice parameters (Å, degrees): 4.448 4.448 5.087 90.00 90.00 90.00
Fractional positions:
Mg 0.000 0.000 0.000
Ba 0.500 0.500 0.500
Se 0.000 0.000 0.500
N 0.000 0.500 0.000
N 0.500 0.000 0.000

- formation energy without anion corrections (meV/atom) = -5
- density of states at the Fermi level (states/eV/f.u.) = 1.55
- total magnetic moment (Bohr magnetons per cell) = 4.0
- symmetry = No. 123

=====

First-principles (SCAN) data for a PBEsol-optimized structure of TlBH2Rh, as listed in Alexandria.

Lattice parameters (Å, degrees): 3.554 3.554 5.203 90.00 90.00 90.00
Fractional positions:
H 0.000 0.500 0.000
H 0.500 0.000 0.000
Tl 0.000 0.000 0.500
B 0.000 0.000 0.000
Rh 0.500 0.500 0.500

- final energy (eV/atom) = -22.802
- density of states at the Fermi level (states/eV/f.u.) = 2.10
- total magnetic moment (Bohr magnetons per cell) = 0.0
- symmetry = No. 123

=====

First-principles (SCAN) data for a PBEsol-optimized structure of Rb2NaVCl6, as listed in Alexandria.

Lattice parameters (Å, degrees): 7.137 7.137 7.137 60.00 60.00 60.00
Fractional positions:
Na 0.500 0.500 0.500
Cl 0.767 0.767 0.233
Cl 0.233 0.767 0.233
Cl 0.233 0.233 0.767
Cl 0.767 0.233 0.767
Cl 0.767 0.233 0.233
Cl 0.233 0.767 0.767
Rb 0.750 0.750 0.750
Rb 0.250 0.250 0.250
V 0.000 0.000 0.000

- formation energy without anion corrections (meV/atom) = -1927
- density of states at the Fermi level (states/eV/f.u.) = 9.56
- total magnetic moment (Bohr magnetons per cell) = 2.0
- symmetry = No. 225

=====

Q: What is the formula in the first record?
A: FeSi2HgPd

=====

Q: Which formula does entry 2 have?
A: BaMgSeN2

=====

Q: Look up the density of states at the Fermi level of the fourth one.
A: 9.56 states/eV/f.u.

=====

Q: Number 3 is which compound?
A: TlBH2Rh